# La3Ho3In2 PBE optimized geometry
# energy relative to the lowest polymorph listed for this composition: 0 meV/atom
# theoretical density: 7625 kg/m³
# formation energy from the elements: -18.0 kJ per mole of atoms
# uncorrected energy: -4.436 eV per atom
data_La3Ho3In2
_cell_length_a 8.8656
_cell_length_b 8.8656
_cell_length_c 10.9535
_cell_angle_alpha 90.00
_cell_angle_beta 90.00
_cell_angle_gamma 120.00
_symmetry_space_group_name_H-M 'R 3 2'
_symmetry_Int_Tables_number 155
_symmetry_space_group_name_Hall 'R 3 2"'
loop_
_atom_site_label
_atom_site_type_symbol
_atom_site_fract_x
_atom_site_fract_y
_atom_site_fract_z
_atom_site_occupancy
La1 La 0.0000 0.2582 0.0000 1
Ho1 Ho 0.0000 0.7581 0.5000 1
In1 In 0.0000 0.0000 0.2506 1